# Li2HoGa6

A geometry-optimized Li2HoGa6 structure (GGA-PBE, the Alexandria database).

Calculated values
Relative energy among the computed polymorphs (eV per atom): 0.000
M_tot (μB per formula unit): 0.00
Uncorrected energy (eV per atom): -3.28
Formation energy (meV/atom): -331
Fermi-level density of states (states/eV/f.u.): 2.85

```
data_Li2HoGa6
_symmetry_space_group_name_H-M 'P 6/m m m'
_symmetry_Int_Tables_number 191
_symmetry_space_group_name_Hall '-P 6 2'
_cell_length_a 7.6096
_cell_length_b 7.6096
_cell_length_c 3.3997
_cell_angle_alpha 90.00
_cell_angle_beta 90.00
_cell_angle_gamma 120.00
loop_
_atom_site_label
_atom_site_type_symbol
_atom_site_fract_x
_atom_site_fract_y
_atom_site_fract_z
Li1 Li 0.3333 0.6667 0.0000
Ho1 Ho 0.0000 0.0000 0.0000
Ga1 Ga 0.0000 0.3374 0.5000
```